# Sc2SbH2 (PBE, optimized geometry)
data_Sc2SbH2
_chemical_formula_sum 'Sc16 Sb8 H16'
_cell_length_a 5.751
_cell_length_b 9.376
_cell_length_c 10.475
_cell_angle_alpha 90.00
_cell_angle_beta 90.00
_cell_angle_gamma 90.00
_symmetry_space_group_name_H-M 'F d d d'
_symmetry_Int_Tables_number 70
loop_
_symmetry_equiv_pos_as_xyz
'x,y,z'
'-x,-y,-z'
'-x+1/4,-y+1/4,z'
'x+1/4,y+1/4,-z'
'x,-y+1/4,-z+1/4'
'-x,y+1/4,z+1/4'
'-x+1/4,y,-z+1/4'
'x+1/4,-y,z+1/4'
'x,y+1/2,z+1/2'
'-x,-y+1/2,-z+1/2'
'-x+1/4,-y+3/4,z+1/2'
'x+1/4,y+3/4,-z+1/2'
'x,-y+3/4,-z+3/4'
'-x,y+3/4,z+3/4'
'-x+1/4,y+1/2,-z+3/4'
'x+1/4,-y+1/2,z+3/4'
'x+1/2,y,z+1/2'
'-x+1/2,-y,-z+1/2'
'-x+3/4,-y+1/4,z+1/2'
'x+3/4,y+1/4,-z+1/2'
'x+1/2,-y+1/4,-z+3/4'
'-x+1/2,y+1/4,z+3/4'
'-x+3/4,y,-z+3/4'
'x+3/4,-y,z+3/4'
'x+1/2,y+1/2,z'
'-x+1/2,-y+1/2,-z'
'-x+3/4,-y+3/4,z'
'x+3/4,y+3/4,-z'
'x+1/2,-y+3/4,-z+1/4'
'-x+1/2,y+3/4,z+1/4'
'-x+3/4,y+1/2,-z+1/4'
'x+3/4,-y+1/2,z+1/4'
loop_
_atom_site_label
_atom_site_type_symbol
_atom_site_fract_x
_atom_site_fract_y
_atom_site_fract_z
Sc1 Sc 0.125 0.300 0.125
Sb1 Sb 0.125 0.125 0.625
H1 H 0.125 0.125 0.003
# magnetic moment = 0.000 μB per atom
# raw total energy = -5.40 eV/atom

=====

# Sc6Sb3H (PBE, optimized geometry)
data_Sc6Sb3H
_chemical_formula_sum 'Sc24 Sb12 H4'
_cell_length_a 12.128
_cell_length_b 15.037
_cell_length_c 4.503
_cell_angle_alpha 90.00
_cell_angle_beta 90.00
_cell_angle_gamma 90.00
_symmetry_space_group_name_H-M 'C m c 21'
_symmetry_Int_Tables_number 36
_symmetry_space_group_name_Hall 'C 2c -2'
loop_
_atom_site_label
_atom_site_type_symbol
_atom_site_fract_x
_atom_site_fract_y
_atom_site_fract_z
Sc1 Sc 0.000 0.074 0.000
Sc2 Sc 0.000 0.256 0.499
Sc3 Sc 0.167 0.244 0.000
Sc4 Sc 0.167 0.424 0.500
Sb1 Sb 0.000 0.401 0.000
Sb2 Sb 0.167 0.102 0.500
H1 H 0.000 0.208 0.009
# magnetic moment = 0.011 μB per atom
# raw total energy = -6.05 eV/atom

=====

# Sc2SbH (PBE, optimized geometry)
data_Sc2SbH
_chemical_formula_sum 'Sc8 Sb4 H4'
_cell_length_a 7.910
_cell_length_b 9.882
_cell_length_c 4.029
_cell_angle_alpha 90.00
_cell_angle_beta 90.00
_cell_angle_gamma 90.00
_symmetry_space_group_name_H-M 'C m m m'
_symmetry_Int_Tables_number 65
_symmetry_space_group_name_Hall '-C 2 2'
loop_
_atom_site_label
_atom_site_type_symbol
_atom_site_fract_x
_atom_site_fract_y
_atom_site_fract_z
Sc1 Sc 0.000 0.000 0.000
Sc2 Sc 0.000 0.500 0.500
Sc3 Sc 0.250 0.250 0.000
Sb1 Sb 0.000 0.211 0.500
H1 H 0.201 0.500 0.000
# offset from the most stable computed form = 190 meV/atom
# magnetic moment = 0.000 μB per atom

=====

# Sc2SbH2 (PBE, optimized geometry)
data_Sc2SbH2
_chemical_formula_sum 'Sc4 Sb2 H4'
_cell_length_a 3.756
_cell_length_b 3.756
_cell_length_c 10.016
_cell_angle_alpha 90.00
_cell_angle_beta 90.00
_cell_angle_gamma 90.00
_symmetry_space_group_name_H-M 'I 4/m m m'
_symmetry_Int_Tables_number 139
_symmetry_space_group_name_Hall '-I 4 2'
loop_
_atom_site_label
_atom_site_type_symbol
_atom_site_fract_x
_atom_site_fract_y
_atom_site_fract_z
Sc1 Sc 0.000 0.000 0.157
Sb1 Sb 0.000 0.000 0.500
H1 H 0.000 0.500 0.250
# magnetic moment = 0.151 μB per atom
# raw total energy = -5.41 eV/atom

=====

# Sc2SbH (PBE, optimized geometry)
data_Sc2SbH
_chemical_formula_sum 'Sc8 Sb4 H4'
_cell_length_a 6.643
_cell_length_b 6.643
_cell_length_c 6.561
_cell_angle_alpha 90.00
_cell_angle_beta 90.00
_cell_angle_gamma 90.00
_symmetry_space_group_name_H-M 'I -4 2 d'
_symmetry_Int_Tables_number 122
_symmetry_space_group_name_Hall 'I -4 2bw'
loop_
_atom_site_label
_atom_site_type_symbol
_atom_site_fract_x
_atom_site_fract_y
_atom_site_fract_z
Sc1 Sc 0.155 0.750 0.125
Sb1 Sb 0.000 0.000 0.500
H1 H 0.000 0.000 0.000
# offset from the most stable computed form = 37 meV/atom
# magnetic moment = 0.221 μB per atom

=====

# Sc2SbH (PBE, optimized geometry)
data_Sc2SbH
_chemical_formula_sum 'Sc6 Sb3 H3'
_cell_length_a 3.9019
_cell_length_b 3.9019
_cell_length_c 17.3151
_cell_angle_alpha 90.00
_cell_angle_beta 90.00
_cell_angle_gamma 120.00
_symmetry_space_group_name_H-M 'R -3 m'
_symmetry_Int_Tables_number 166
_symmetry_space_group_name_Hall '-R 3 2"'
loop_
_atom_site_label
_atom_site_type_symbol
_atom_site_fract_x
_atom_site_fract_y
_atom_site_fract_z
Sc1 Sc 0.0000 0.0000 0.2335
Sb1 Sb 0.0000 0.0000 0.0000
H1 H 0.0000 0.0000 0.5000
# offset from the most stable computed form = 243 meV/atom
# magnetic moment = 0.000 μB per atom